Record 1
The following is a DFT calculation (PBE) of PaNi6Os after structural relaxation.

Summary:
Calculated formation energy ... -0.0497 eV/atom
ρ ... 12.15 Mg/m³

a b c (Å): 4.7278 4.7278 4.7278
angles (deg): 90.00 90.00 90.00
Space group Pm-3 (No. 200)
Asymmetric unit:
Pa: 0.0000 0.0000 0.0000
Ni: 0.0000 0.2581 0.5000
Os: 0.5000 0.5000 0.5000

***

Record 2
The following is a DFT calculation (PBE) of PaNi2Os after structural relaxation.

Summary:
Calculated formation energy ... 0.2099 eV/atom
ρ ... 12.15 Mg/m³

a b c (Å): 4.2430 4.2430 4.7231
angles (deg): 90.00 90.00 120.00
Space group P-6m2 (No. 187)
Asymmetric unit:
Pa: 0.0000 0.0000 0.0000
Ni: 0.0000 0.0000 0.5000
Ni: 0.3333 0.6667 0.5000
Os: 0.6667 0.3333 0.5000

***

Record 3
The following is a DFT calculation (PBE) of PaNi2Os after structural relaxation.

Summary:
Calculated formation energy ... -0.1341 eV/atom
ρ ... 13.49 Mg/m³

a b c (Å): 4.2582 4.2582 12.6694
angles (deg): 90.00 90.00 120.00
Space group R-3m (No. 166, hexagonal axes)
Asymmetric unit:
Pa: 0.0000 0.0000 0.0000
Ni: 0.0000 0.0000 0.2031
Os: 0.0000 0.0000 0.5000

***

Record 4
The following is a DFT calculation (PBE) of Pa2Ni2Os after structural relaxation.

Summary:
Calculated formation energy ... -0.3784 eV/atom
ρ ... 14.37 Mg/m³

a b c (Å): 7.1767 7.1767 3.4539
angles (deg): 90.00 90.00 90.00
Space group P4/mbm (No. 127)
Asymmetric unit:
Pa: 0.1833 0.3167 0.0000
Ni: 0.1216 0.6216 0.5000
Os: 0.0000 0.0000 0.5000